[1]
# KSc2SeI (PBEsol, optimized geometry)
# - ΔE_f (raw): -0.47 eV/atom
# - Magnetic moment: 2.212 μB/cell
data_KSc2SeI
_cell_length_a 5.042
_cell_length_b 5.042
_cell_length_c 6.510
_cell_angle_alpha 90.00
_cell_angle_beta 90.00
_cell_angle_gamma 90.00
_space_group_name_H-M_alt 'P 4/m m m'
_space_group_IT_number 123
_space_group_name_Hall '-P 4 2'
loop_
_atom_site_label
_atom_site_fract_x
_atom_site_fract_y
_atom_site_fract_z
K1 0.000 0.000 0.000
Sc1 0.000 0.500 0.500
Se1 0.000 0.000 0.500
I1 0.500 0.500 0.000

---

[2]
# KScTeI2 (PBEsol, optimized geometry)
# - ΔE_f (raw): 0.23 eV/atom
# - Magnetic moment: 0.060 μB/cell
data_KScTeI2
_cell_length_a 5.901
_cell_length_b 5.901
_cell_length_c 6.048
_cell_angle_alpha 90.00
_cell_angle_beta 90.00
_cell_angle_gamma 90.00
_space_group_name_H-M_alt 'P 4/m m m'
_space_group_IT_number 123
_space_group_name_Hall '-P 4 2'
loop_
_atom_site_label
_atom_site_fract_x
_atom_site_fract_y
_atom_site_fract_z
K1 0.000 0.000 0.000
Sc1 0.500 0.500 0.500
Te1 0.000 0.000 0.500
I1 0.000 0.500 0.000

---

[3]
# KSe2I (PBEsol, optimized geometry)
# - ΔE_f (raw): -0.05 eV/atom
# - Magnetic moment: 0.002 μB/cell
data_KSe2I
_cell_length_a 3.8371
_cell_length_b 3.8371
_cell_length_c 29.6648
_cell_angle_alpha 90.00
_cell_angle_beta 90.00
_cell_angle_gamma 120.00
_space_group_name_H-M_alt 'R -3 m'
_space_group_IT_number 166
_space_group_name_Hall '-R 3 2"'
loop_
_atom_site_label
_atom_site_fract_x
_atom_site_fract_y
_atom_site_fract_z
K1 0.0000 0.0000 0.0000
Se1 0.0000 0.0000 0.4119
I1 0.0000 0.0000 0.5000